(1)
Rb3LaPr2Te6 after structural relaxation. Source: Alexandria, functional PBE.

Computed properties:
**ΔE_f (raw)**: -1.44 eV per atom
**Symmetry**: No. 12

Lattice parameters (Å, degrees): 8.1420 8.1420 8.9866 98.69 98.69 120.00
Sites, in units of the cell vectors:
1 Pr 0.3333 0.6667 0.0000
2 Pr 0.6667 0.3333 0.0000
3 Te 0.2665 0.2665 0.7936
4 Te 0.4041 0.0688 0.2064
5 Te 0.0688 0.4041 0.2064
6 Te 0.7335 0.7335 0.2064
7 Te 0.5959 0.9312 0.7936
8 Te 0.9312 0.5959 0.7936
9 Rb 0.1666 0.8334 0.5000
10 Rb 0.5000 0.5000 0.5000
11 Rb 0.8334 0.1666 0.5000
12 La 0.0000 0.0000 0.0000

=====

(2)
Rb4La3PrTe8 after structural relaxation. Source: Alexandria, functional PBE.

Computed properties:
**ΔE_f (raw)**: -1.47 eV per atom
**Symmetry**: No. 166

Lattice parameters (Å, degrees): 9.4543 10.1469 9.4541 117.80 120.00 90.00
Sites, in units of the cell vectors:
1 La 0.5000 0.5000 0.0000
2 La 0.0000 0.5000 0.5000
3 La 0.5000 0.5000 0.5000
4 Rb 0.5000 0.0000 0.0000
5 Rb 0.5000 0.0000 0.5000
6 Rb 0.0000 0.0000 0.5000
7 Rb 0.0000 0.0000 0.0000
8 Te 0.2644 0.2934 0.5288
9 Te 0.2346 0.7063 0.4691
10 Te 0.7654 0.2937 0.5309
11 Te 0.7374 0.7063 0.9720
12 Te 0.2626 0.2937 0.0280
13 Te 0.7654 0.2937 0.0280
14 Te 0.7356 0.7066 0.4712
15 Te 0.2346 0.7063 0.9720
16 Pr 0.0000 0.5000 0.0000

=====

(3)
LaPrRe4 after structural relaxation. Source: Alexandria, functional PBE.

Computed properties:
**Symmetry**: No. 216

Lattice parameters (Å, degrees): 5.5378 5.5378 5.5378 60.00 60.00 60.00
Sites, in units of the cell vectors:
1 Re 0.1250 0.6250 0.6250
2 Re 0.6250 0.1250 0.6250
3 Re 0.6250 0.6250 0.6250
4 Re 0.6250 0.6250 0.1250
5 Pr 0.2500 0.2500 0.2500
6 La 0.0000 0.0000 0.0000

=====

(4)
La2PrRh after structural relaxation. Source: Alexandria, functional PBE.

Computed properties:
**Symmetry**: No. 166

Lattice parameters (Å, degrees): 3.8957 3.8957 10.9270 79.73 79.73 60.00
Last column: magnetic moment on the atom in μB.
Sites, in units of the cell vectors:
1 Rh 0.5000 0.5000 0.5000  0.00
2 Pr 0.0000 0.0000 0.0000  0.23
3 La 0.1126 0.1126 0.6621  0.06
4 La 0.8874 0.8874 0.3379  0.06

=====

(5)
LaPrRh2 after structural relaxation. Source: Alexandria, functional PBE.

Computed properties:
**Symmetry**: No. 160

Lattice parameters (Å, degrees): 4.0702 4.0702 7.4560 74.16 74.16 60.00
Sites, in units of the cell vectors:
1 La 0.4976 0.4976 0.5072
2 Pr 0.6693 0.6693 0.9922
3 Rh 0.2455 0.2455 0.2634
4 Rh 0.0876 0.0876 0.7372

=====

(6)
LaPr3Rh8 after structural relaxation. Source: Alexandria, functional PBE.

Computed properties:
**Symmetry**: No. 160

Lattice parameters (Å, degrees): 5.4391 5.4391 9.4308 73.24 73.24 60.00
Sites, in units of the cell vectors:
1 Rh 0.9374 0.4373 0.6879
2 Rh 0.4378 0.4378 0.1870
3 Rh 0.1874 0.1874 0.4377
4 Rh 0.9374 0.9374 0.6879
5 Rh 0.4378 0.9374 0.1870
6 Rh 0.6875 0.6875 0.9374
7 Rh 0.9374 0.4378 0.1870
8 Rh 0.4373 0.9374 0.6879
9 Pr 0.3750 0.3750 0.8751
10 Pr 0.0000 0.0000 0.0001
11 Pr 0.5001 0.5001 0.4996
12 La 0.8749 0.8749 0.3752

=====

(7)
LaPrRh after structural relaxation. Source: Alexandria, functional PBE.

Computed properties:
**Symmetry**: No. 198

Lattice parameters (Å, degrees): 7.1324 7.1324 7.1324 90.00 90.00 90.00
Sites, in units of the cell vectors:
1 Rh 0.9946 0.4946 0.0054
2 Rh 0.5054 0.5054 0.5054
3 Rh 0.4946 0.0054 0.9946
4 Rh 0.0054 0.9946 0.4946
5 La 0.3320 0.8320 0.6680
6 La 0.1680 0.1680 0.1680
7 La 0.6680 0.3320 0.8320
8 La 0.8320 0.6680 0.3320
9 Pr 0.8317 0.8317 0.8317
10 Pr 0.6683 0.1683 0.3317
11 Pr 0.1683 0.3317 0.6683
12 Pr 0.3317 0.6683 0.1683

=====

(8)
La3PrRh8 after structural relaxation. Source: Alexandria, functional PBE.

Computed properties:
**Symmetry**: No. 160

Lattice parameters (Å, degrees): 5.4421 5.4421 9.4392 73.25 73.25 60.00
Sites, in units of the cell vectors:
1 Pr 0.8750 0.8750 0.3749
2 Rh 0.6875 0.6875 0.9375
3 Rh 0.1876 0.1876 0.4373
4 Rh 0.4372 0.9375 0.1881
5 Rh 0.4372 0.4372 0.1881
6 Rh 0.9375 0.4372 0.1881
7 Rh 0.9376 0.9376 0.6870
8 Rh 0.4377 0.9376 0.6870
9 Rh 0.9376 0.4377 0.6870
10 La 0.0003 0.0003 0.9991
11 La 0.4997 0.4997 0.5008
12 La 0.3749 0.3749 0.8753

=====

(9)
La2Pr2Rh3 after structural relaxation. Source: Alexandria, functional PBE.

Computed properties:
**Symmetry**: No. 2

Lattice parameters (Å, degrees): 4.1979 7.1107 7.1913 99.86 90.02 107.10
Sites, in units of the cell vectors:
1 Pr 0.1367 0.2714 0.3631
2 Pr 0.8633 0.7286 0.6369
3 La 0.3756 0.7506 0.1146
4 La 0.6244 0.2494 0.8854
5 Rh 0.0000 0.0000 0.0000
6 Rh 0.7609 0.5210 0.2527
7 Rh 0.2391 0.4790 0.7473

=====

(10)
La2Pr3Rh2 after structural relaxation. Source: Alexandria, functional PBE.

Computed properties:
**Symmetry**: No. 12

Lattice parameters (Å, degrees): 3.9401 6.5559 9.3548 112.76 90.00 107.49
Sites, in units of the cell vectors:
1 Pr 0.6150 0.2299 0.4218
2 Pr 0.3850 0.7701 0.5782
3 Pr 0.5000 0.0000 0.0000
4 La 0.8288 0.6576 0.1908
5 La 0.1712 0.3424 0.8092
6 Rh 0.1813 0.3626 0.2418
7 Rh 0.8187 0.6374 0.7582

=====

(11)
LaPrRh after structural relaxation. Source: Alexandria, functional PBE.

Computed properties:
**Symmetry**: No. 12

Lattice parameters (Å, degrees): 4.2628 4.2600 13.0104 90.00 70.93 119.98
Sites, in units of the cell vectors:
1 Pr 0.5023 0.7512 0.6238
2 Pr 0.4977 0.2488 0.3762
3 La 0.4952 0.7476 0.1292
4 La 0.5048 0.2524 0.8708
5 Rh 0.9977 0.9988 0.7519
6 Rh 0.0023 0.0012 0.2481

=====

(12)
La2Pr6Rh after structural relaxation. Source: Alexandria, functional PBE.

Computed properties:
**Symmetry**: No. 12

Lattice parameters (Å, degrees): 3.7680 9.5839 10.1775 118.09 90.30 90.00
Sites, in units of the cell vectors:
1 Pr 0.9975 0.6653 0.6630
2 Pr 0.5000 0.2143 0.0000
3 Pr 0.9975 0.9977 0.6630
4 Pr 0.0025 0.0023 0.3370
5 Pr 0.0025 0.3347 0.3370
6 Pr 0.5000 0.7857 0.0000
7 La 0.4942 0.6677 0.3354
8 La 0.5058 0.3323 0.6646
9 Rh 0.0000 0.0000 0.0000

=====

| no. | total magnetic moment (μB per formula unit) | density (Mg/m³) | VASP energy (eV per atom) |
| --- | --- | --- | --- |
| 1 | 0.00 | 4.87 | -4.459 |
| 2 | 0.00 | 4.82 | -4.508 |
| 3 | 0.00 | 14.17 | -9.782 |
| 4 | 0.75 | 6.16 | -5.684 |
| 5 | 0.00 | 7.94 | -6.606 |
| 6 | 0.00 | 10.09 | -7.157 |
| 7 | 0.00 | 7.01 | -6.195 |
| 8 | 0.00 | 10.04 | -7.215 |
| 9 | 0.00 | 7.14 | -6.528 |
| 10 | 0.00 | 7.14 | -6.021 |
| 11 | 0.00 | 6.71 | -6.208 |
| 12 | 0.00 | 6.28 | -5.079 |